(1)
Density functional theory data (PBE-GGA) for crystalline AlPtCl2 at its relaxed geometry.

The total energy comes out at -3.4417 eV per atom. The calculation puts the size of the total moment at 0.000 μB/f.u. For the density of states at the Fermi level, the calculation gives 0.321 states/eV per atom. As for the energy relative to the elements, uncorrected: -73 meV/atom.

It has space group R-3m (No. 166, hexagonal axes), with a = 3.1601 Å, b = 3.1601 Å, c = 25.8107 Å, α = 90.00°, β = 90.00° and γ = 120.00°. Symmetry generates all atoms from Al at (0.0000, 0.0000, 0.0000), Pt at (0.0000, 0.0000, 0.5000) and Cl at (0.0000, 0.0000, 0.4096).

(2)
Density functional theory data (PBE-GGA) for crystalline AlPtCl2 at its relaxed geometry.

The total energy comes out at -3.3605 eV per atom. The calculation puts the size of the total moment at 0.000 μB/f.u. For the density of states at the Fermi level, the calculation gives 0.055 states/eV per atom. As for the energy relative to the elements, uncorrected: 9 meV/atom.

It has space group I-42d (No. 122), with a = 4.319 Å, b = 4.319 Å, c = 16.571 Å, α = 90.00°, β = 90.00° and γ = 90.00°. Symmetry generates all atoms from Al at (0.000, 0.000, 0.000), Pt at (0.000, 0.000, 0.500) and Cl at (0.247, 0.250, 0.125).

(3)
Density functional theory data (PBE-GGA) for crystalline AlPt2Cl at its relaxed geometry.

The total energy comes out at -4.4181 eV per atom. The calculation puts the size of the total moment at 0.000 μB/f.u. For the density of states at the Fermi level, the calculation gives 0.628 states/eV per atom. As for the energy relative to the elements, uncorrected: 0 meV/atom.

It has space group C2/m (No. 12), with a = 5.623 Å, b = 9.000 Å, c = 3.106 Å, α = 90.00°, β = 122.86° and γ = 90.00°. Symmetry generates all atoms from Al at (0.000, 0.000, 0.000), Pt at (0.250, 0.250, 0.500) and Cl at (0.000, 0.500, 0.000).

(4)
Density functional theory data (PBE-GGA) for crystalline AlPt2Cl at its relaxed geometry.

The total energy comes out at -4.4438 eV per atom. The calculation puts the size of the total moment at 0.000 μB/f.u. For the density of states at the Fermi level, the calculation gives 0.084 states/eV per atom. As for the energy relative to the elements, uncorrected: -26 meV/atom.

It has space group I4/mmm (No. 139), with a = 4.200 Å, b = 4.200 Å, c = 7.212 Å, α = 90.00°, β = 90.00° and γ = 90.00°. Symmetry generates all atoms from Al at (0.000, 0.000, 0.000), Pt at (0.000, 0.500, 0.250) and Cl at (0.000, 0.000, 0.500).